1.
First-principles (PBE) data for ScBeI3 after structural relaxation, as listed in Alexandria.

abc: 5.264 5.264 5.264
angles: 90.00 90.00 90.00
Space group Pm-3m (No. 221)
Symmetry-distinct sites (fractional):
Sc1 0.000 0.000 0.000
Be1 0.500 0.500 0.500
I1 0.000 0.500 0.500

Magnetic moment = 0.272 μB per atom
Uncorrected energy = -14.48 eV for the cell shown

***

2.
First-principles (PBE) data for Nd5SmTm after structural relaxation, as listed in Alexandria.

abc: 6.304 6.308 7.154
angles: 100.33 100.15 112.25
Space group P-1 (No. 2)
Symmetry-distinct sites (fractional):
Nd1 0.000 0.000 0.000
Nd2 0.094 0.523 0.268
Nd3 0.478 0.906 0.732
Sm1 0.000 0.000 0.500
Tm1 0.500 0.500 0.000

Magnetic moment = 0.000 μB per atom
ΔE_f = 0.182 eV per atom

***

3.
First-principles (PBE) data for Ta2CoRu after structural relaxation, as listed in Alexandria.

abc: 3.112 4.397 9.248
angles: 101.04 99.54 90.05
Space group P-1 (No. 2)
Symmetry-distinct sites (fractional):
Ta1 0.058 0.328 0.111
Ta2 0.184 0.950 0.366
Co1 0.433 0.133 0.866
Ru1 0.321 0.549 0.644

Magnetic moment = 0.103 μB per atom
ΔE_f = -0.162 eV per atom